No. 1
Below is a geometry-optimized Tb4Dy8Th3 structure, with properties calculated at the PBE level.

Cell: 9.2617 9.2617 6.6367 Å, 110.51 110.51 87.10°
With the nearest neighbours (Å) after each atom.
Sites, in units of the cell vectors:
Tb (0.0000, 0.0000, 0.0000)  6 Dy 3.18-3.49, 2 Tb 3.32
Tb (0.0000, 0.0000, 0.5000)  2 Dy 3.22, 2 Tb 3.32
Tb (0.0000, 0.5000, 0.0000)  4 Dy 3.21-3.36, 2 Th 3.32
Tb (0.5000, 0.0000, 0.0000)  4 Dy 3.21-3.36, 2 Th 3.32
Dy (0.2477, 0.2477, 0.9514)  4 Tb 3.21-3.49, 2 Dy 3.24-3.43, 1 Th 3.24
Dy (0.2488, 0.7512, 0.0000)  3 Tb 3.18-3.36, 3 Th 3.21-3.39
Dy (0.2736, 0.2736, 0.4623)  3 Th 3.23-3.39, 4 Dy 3.24-3.46, 1 Tb 3.47
Dy (0.3558, 0.6442, 0.5000)  5 Dy 3.46-3.68, 4 Th 3.62-3.79, 2 Tb 3.65
Dy (0.6442, 0.3558, 0.5000)  5 Dy 3.46-3.68, 4 Th 3.62-3.79, 2 Tb 3.65
Dy (0.7264, 0.7264, 0.5377)  3 Th 3.23-3.39, 4 Dy 3.24-3.46, 1 Tb 3.47
Dy (0.7512, 0.2488, 0.0000)  3 Tb 3.18-3.36, 3 Th 3.21-3.39
Dy (0.7523, 0.7523, 0.0486)  4 Tb 3.21-3.49, 2 Dy 3.24-3.43, 1 Th 3.24
Th (0.0000, 0.5000, 0.5000)  4 Dy 3.23-3.39, 2 Tb 3.32
Th (0.5000, 0.0000, 0.5000)  4 Dy 3.23-3.39, 2 Tb 3.32
Th (0.5000, 0.5000, 0.0000)  6 Dy 3.21-3.39

---

No. 2
Below is a geometry-optimized Tb2Dy5Th6 structure, with properties calculated at the PBE level.

Cell: 11.7874 20.4792 3.5233 Å, 90.00 90.00 90.00°
With the nearest neighbours (Å) after each atom.
Sites, in units of the cell vectors:
Tb (0.1753, 0.2250, 0.0000)  6 Dy 3.52-3.77, 2 Tb 3.52, 4 Th 3.59-3.90
Tb (0.3247, 0.7250, 0.0000)  6 Dy 3.52-3.77, 2 Tb 3.52, 4 Th 3.59-3.90
Tb (0.6753, 0.2750, 0.0000)  6 Dy 3.52-3.77, 2 Tb 3.52, 4 Th 3.59-3.90
Tb (0.8247, 0.7750, 0.0000)  6 Dy 3.52-3.77, 2 Tb 3.52, 4 Th 3.59-3.90
Dy (0.0000, 0.5000, 0.5000)  6 Th 3.37-3.43, 4 Dy 3.52-3.71
Dy (0.0828, 0.7804, 0.5000)  5 Th 3.31-3.53, 4 Tb 3.52-3.54, 2 Dy 3.52
Dy (0.2053, 0.0631, 0.5000)  3 Dy 3.52-3.71, 7 Th 3.65-3.90, 2 Tb 3.77
Dy (0.2947, 0.5631, 0.5000)  3 Dy 3.52-3.71, 7 Th 3.65-3.90, 2 Tb 3.77
Dy (0.4172, 0.2804, 0.5000)  5 Th 3.31-3.53, 4 Tb 3.52-3.54, 2 Dy 3.52
Dy (0.5000, 0.0000, 0.5000)  6 Th 3.37-3.43, 4 Dy 3.52-3.71
Dy (0.5828, 0.7196, 0.5000)  5 Th 3.31-3.53, 4 Tb 3.52-3.54, 2 Dy 3.52
Dy (0.7053, 0.4369, 0.5000)  3 Dy 3.52-3.71, 7 Th 3.65-3.90, 2 Tb 3.77
Dy (0.7947, 0.9369, 0.5000)  3 Dy 3.52-3.71, 7 Th 3.65-3.90, 2 Tb 3.77
Dy (0.9172, 0.2196, 0.5000)  5 Th 3.31-3.53, 4 Tb 3.52-3.54, 2 Dy 3.52
Th (0.0581, 0.6400, 0.0000)  6 Dy 3.38-3.66, 4 Th 3.51-3.52, 1 Tb 3.59
Th (0.0659, 0.9292, 0.0000)  5 Th 3.29-3.52, 6 Dy 3.53-3.65
Th (0.1971, 0.3811, 0.5000)  2 Dy 3.31-3.37, 6 Th 3.45-3.52, 2 Tb 3.66
Th (0.3029, 0.8811, 0.5000)  2 Dy 3.31-3.37, 6 Th 3.45-3.52, 2 Tb 3.66
Th (0.4341, 0.4292, 0.0000)  5 Th 3.29-3.52, 6 Dy 3.53-3.65
Th (0.4419, 0.1400, 0.0000)  6 Dy 3.38-3.66, 4 Th 3.51-3.52, 1 Tb 3.59
Th (0.5581, 0.8600, 0.0000)  6 Dy 3.38-3.66, 4 Th 3.51-3.52, 1 Tb 3.59
Th (0.5659, 0.5708, 0.0000)  5 Th 3.29-3.52, 6 Dy 3.53-3.65
Th (0.6971, 0.1189, 0.5000)  2 Dy 3.31-3.37, 6 Th 3.45-3.52, 2 Tb 3.66
Th (0.8029, 0.6189, 0.5000)  2 Dy 3.31-3.37, 6 Th 3.45-3.52, 2 Tb 3.66
Th (0.9341, 0.0708, 0.0000)  5 Th 3.29-3.52, 6 Dy 3.53-3.65
Th (0.9419, 0.3600, 0.0000)  6 Dy 3.38-3.66, 4 Th 3.51-3.52, 1 Tb 3.59

---

No. 3
Below is a geometry-optimized Tb12Dy7Th structure, with properties calculated at the PBE level.

Calculated values
Energy above the most stable polymorph in this dataset: 0.0 meV per atom

Cell: 8.6905 8.6905 8.6905 Å, 89.26 89.26 89.26°
With the nearest neighbours (Å) after each atom.
Sites, in units of the cell vectors:
Tb (0.0019, 0.1188, 0.6462)  2 Dy 3.23-3.43, 4 Tb 3.24-3.45
Tb (0.1188, 0.6462, 0.0019)  2 Dy 3.23-3.43, 4 Tb 3.24-3.45
Tb (0.2191, 0.7607, 0.6334)  4 Tb 3.24-3.62, 1 Dy 3.48, 1 Th 3.51
Tb (0.2393, 0.3666, 0.7809)  4 Tb 3.24-3.62, 1 Dy 3.48, 1 Th 3.51
Tb (0.3538, 0.9981, 0.8812)  2 Dy 3.23-3.43, 4 Tb 3.24-3.45
Tb (0.3666, 0.7809, 0.2393)  4 Tb 3.24-3.62, 1 Dy 3.48, 1 Th 3.51
Tb (0.6334, 0.2191, 0.7607)  4 Tb 3.24-3.62, 1 Dy 3.48, 1 Th 3.51
Tb (0.6462, 0.0019, 0.1188)  2 Dy 3.23-3.43, 4 Tb 3.24-3.45
Tb (0.7607, 0.6334, 0.2191)  4 Tb 3.24-3.62, 1 Dy 3.48, 1 Th 3.51
Tb (0.7809, 0.2393, 0.3666)  4 Tb 3.24-3.62, 1 Dy 3.48, 1 Th 3.51
Tb (0.8812, 0.3538, 0.9981)  2 Dy 3.23-3.43, 4 Tb 3.24-3.45
Tb (0.9981, 0.8812, 0.3538)  2 Dy 3.23-3.43, 4 Tb 3.24-3.45
Dy (0.0000, 0.0000, 0.0000)  6 Tb 3.23
Dy (0.1194, 0.4484, 0.3454)  6 Tb 3.43-3.83, 3 Dy 3.49-3.56, 1 Th 3.62
Dy (0.3454, 0.1194, 0.4484)  6 Tb 3.43-3.83, 3 Dy 3.49-3.56, 1 Th 3.62
Dy (0.4484, 0.3454, 0.1194)  6 Tb 3.43-3.83, 3 Dy 3.49-3.56, 1 Th 3.62
Dy (0.5516, 0.6546, 0.8806)  6 Tb 3.43-3.83, 3 Dy 3.49-3.56, 1 Th 3.62
Dy (0.6546, 0.8806, 0.5516)  6 Tb 3.43-3.83, 3 Dy 3.49-3.56, 1 Th 3.62
Dy (0.8806, 0.5516, 0.6546)  6 Tb 3.43-3.83, 3 Dy 3.49-3.56, 1 Th 3.62
Th (0.5000, 0.5000, 0.5000)  6 Tb 3.51, 6 Dy 3.62

---

No. 4
Below is a geometry-optimized TbDy7Th4 structure, with properties calculated at the PBE level.

Cell: 3.5711 3.5711 34.5689 Å, 90.00 90.00 120.00°
With the nearest neighbours (Å) after each atom.
Sites, in units of the cell vectors:
Tb (0.0000, 0.0000, 0.0000)  6 Tb 3.57, 6 Dy 3.58
Dy (0.0000, 0.0000, 0.2484)  3 Th 3.49, 9 Dy 3.57-3.64
Dy (0.0000, 0.0000, 0.5000)  6 Th 3.55, 6 Dy 3.57
Dy (0.0000, 0.0000, 0.7516)  3 Th 3.49, 9 Dy 3.57-3.64
Dy (0.3333, 0.6667, 0.6648)  3 Th 3.48, 9 Dy 3.57-3.64
Dy (0.3333, 0.6667, 0.9155)  3 Th 3.52, 6 Dy 3.57, 3 Tb 3.58
Dy (0.6667, 0.3333, 0.0845)  3 Th 3.52, 6 Dy 3.57, 3 Tb 3.58
Dy (0.6667, 0.3333, 0.3352)  3 Th 3.48, 9 Dy 3.57-3.64
Th (0.3333, 0.6667, 0.1670)  6 Dy 3.49-3.52, 6 Th 3.57
Th (0.3333, 0.6667, 0.4164)  6 Dy 3.48-3.55, 6 Th 3.57
Th (0.6667, 0.3333, 0.5836)  6 Dy 3.48-3.55, 6 Th 3.57
Th (0.6667, 0.3333, 0.8330)  6 Dy 3.49-3.52, 6 Th 3.57

---

no.,DOS(E_F) (states/eV/f.u.),raw total energy (eV per atom),formation energy (eV per atom)
1,28.98,-4.742,0.4310
2,20.95,-5.760,0.1465
3,38.77,-4.520,0.2396
4,16.83,-5.524,0.0202